(1)
Below is a relaxed AlAgTe4 crystal, with properties calculated at the PBE-GGA level.

a = 6.3916 Å, b = 6.3916 Å, c = 6.3916 Å
α = 60.00°, β = 60.00°, γ = 60.00°
Fractional positions:
Al (0.0000, 0.0000, 0.0000)
Te (0.8740, 0.3753, 0.3753)
Te (0.3753, 0.3753, 0.8740)
Te (0.3753, 0.3753, 0.3753)
Te (0.3753, 0.8740, 0.3753)
Ag (0.7500, 0.7500, 0.7500)

Properties
Formation energy without anion corrections = 0.52 eV per atom
Final energy = -2.676 eV/atom


(2)
Below is a relaxed TbCoCl5 crystal, with properties calculated at the PBE-GGA level.

a = 7.0710 Å, b = 7.0716 Å, c = 10.1924 Å
α = 111.90°, β = 111.91°, γ = 87.16°
Site moments in Bohr magnetons follow the coordinates.
Fractional positions:
Cl (0.7344, 0.7056, 0.0481)  0.07
Cl (0.1647, 0.7324, 0.8338)  0.08
Cl (0.5802, 0.9201, 0.7501)  0.00
Cl (0.2656, 0.2944, 0.9519)  0.07
Cl (0.8353, 0.2676, 0.1662)  0.08
Cl (0.2325, 0.6647, 0.3339)  0.08
Cl (0.7945, 0.7657, 0.4520)  0.07
Cl (0.4198, 0.0799, 0.2499)  0.00
Cl (0.7675, 0.3353, 0.6661)  0.08
Cl (0.2055, 0.2343, 0.5480)  0.07
Tb (0.5000, 0.0000, 0.0000)  0.04
Tb (0.5000, 0.0000, 0.5000)  0.04
Co (0.1134, 0.3865, 0.7500)  2.45
Co (0.8866, 0.6135, 0.2500)  2.45

Properties
Formation energy without anion corrections = -1.50 eV per atom
Final energy = -4.495 eV/atom


(3)
Below is a relaxed Pa2GeMo crystal, with properties calculated at the PBE-GGA level.

a = 4.4653 Å, b = 4.4653 Å, c = 5.5199 Å
α = 90.00°, β = 90.00°, γ = 120.00°
Fractional positions:
Mo (0.0000, 0.0000, 0.0000)
Pa (0.3333, 0.6667, 0.2326)
Pa (0.6667, 0.3333, 0.7674)
Ge (0.0000, 0.0000, 0.5000)

Properties
Calculated formation energy = 0.035 eV per atom
Distance to the lowest polymorph of the same formula = 241 meV per atom
Final energy = -8.575 eV/atom


(4)
Below is a relaxed MoPd2Cl crystal, with properties calculated at the PBE-GGA level.

a = 7.2016 Å, b = 7.2016 Å, c = 5.7427 Å
α = 51.17°, β = 51.17°, γ = 90.00°
Site moments in Bohr magnetons follow the coordinates.
Fractional positions:
Pd (0.3750, 0.3725, 0.7500)  0.01
Pd (0.6275, 0.1250, 0.2500)  -0.01
Pd (0.8750, 0.8775, 0.7500)  0.00
Pd (0.1225, 0.6250, 0.2500)  -0.01
Cl (0.5000, 0.5000, 0.0000)  -0.02
Cl (0.2500, 0.7500, 0.5000)  -0.02
Mo (0.0000, 0.0000, 0.0000)  0.95
Mo (0.7500, 0.2500, 0.5000)  0.99

Properties
Formation energy without anion corrections = 0.56 eV per atom
Distance to the lowest polymorph of the same formula = 0 meV per atom
Final energy = -5.205 eV/atom


(5)
Below is a relaxed TmPuPb2O6 crystal, with properties calculated at the PBE-GGA level.

a = 5.9689 Å, b = 6.0665 Å, c = 8.5387 Å
α = 90.00°, β = 89.96°, γ = 90.00°
Site moments in Bohr magnetons follow the coordinates.
Fractional positions:
O (0.5888, 0.0232, 0.2549)  -0.06
O (0.0888, 0.4768, 0.7549)  -0.06
O (0.2928, 0.6977, 0.0435)  -0.06
O (0.1961, 0.2100, 0.0460)  -0.07
O (0.8039, 0.7900, 0.9540)  -0.07
O (0.7072, 0.3023, 0.9565)  -0.06
O (0.7928, 0.8023, 0.5435)  -0.06
O (0.2072, 0.1977, 0.4565)  -0.06
O (0.9112, 0.5232, 0.2451)  -0.06
O (0.4112, 0.9768, 0.7451)  -0.06
O (0.3039, 0.7100, 0.4540)  -0.07
O (0.6961, 0.2900, 0.5460)  -0.07
Pb (0.5052, 0.5302, 0.7515)  0.01
Pb (0.4948, 0.4698, 0.2485)  0.01
Pb (0.9948, 0.0302, 0.7485)  0.01
Pb (0.0052, 0.9698, 0.2515)  0.01
Pu (0.0000, 0.5000, 0.0000)  3.37
Pu (0.5000, 0.0000, 0.5000)  3.37
Tm (0.0000, 0.5000, 0.5000)  -0.03
Tm (0.5000, 0.0000, 0.0000)  -0.03

Properties
Formation energy without anion corrections = -2.32 eV per atom
Final energy = -7.917 eV/atom


(6)
Below is a relaxed KSnHgBr5 crystal, with properties calculated at the PBE-GGA level.

a = 8.1094 Å, b = 8.1094 Å, c = 10.7762 Å
α = 103.77°, β = 103.77°, γ = 106.35°
Fractional positions:
Hg (0.6803, 0.3197, 0.2500)
Hg (0.3197, 0.6803, 0.7500)
Br (0.2709, 0.3745, 0.5550)
Br (0.7291, 0.6255, 0.4450)
Br (0.0882, 0.9118, 0.2500)
Br (0.6255, 0.7291, 0.9450)
Br (0.9118, 0.0882, 0.7500)
Br (0.9135, 0.3355, 0.1115)
Br (0.3355, 0.9135, 0.6115)
Br (0.3745, 0.2709, 0.0550)
Br (0.0865, 0.6645, 0.8885)
Br (0.6645, 0.0865, 0.3885)
K (0.3430, 0.6570, 0.2500)
K (0.6570, 0.3430, 0.7500)
Sn (0.0000, 0.0000, 0.0000)
Sn (0.0000, 0.0000, 0.5000)

Properties
Formation energy without anion corrections = -0.89 eV per atom
Final energy = -2.613 eV/atom


Look up the final energy of the second one.
-4.495 eV/atom


The highest final energy belongs to which entry?
KSnHgBr5